1.
DFT (PBE) results for a geometry-optimized MnZn2In structure.

Geometry as CIF:
```
data_MnZn2In
_space_group_name_H-M_alt 'P 1'
_space_group_IT_number 1
_cell_length_a 3.986
_cell_length_b 3.987
_cell_length_c 4.045
_cell_angle_alpha 90.00
_cell_angle_beta 90.00
_cell_angle_gamma 90.00
loop_
_space_group_symop_operation_xyz
'x,y,z'
loop_
_atom_site_label
_atom_site_type_symbol
_atom_site_fract_x
_atom_site_fract_y
_atom_site_fract_z
In1 In 0.500 0.000 0.500
Mn1 Mn 0.000 0.500 0.500
Zn1 Zn 0.000 0.000 0.000
Zn2 Zn 0.500 0.500 0.000
```

Total DFT energy (no corrections), eV/f.u.: -14.100
M_tot, μB per cell: 2.9
Space group: P4/mmm, No. 123
Crystal system: tetragonal



2.
DFT (PBE) results for a geometry-optimized PuOs2Ru structure.

Geometry as CIF:
```
data_PuOs2Ru
_space_group_name_H-M_alt 'P 1'
_space_group_IT_number 1
_cell_length_a 4.037
_cell_length_b 3.996
_cell_length_c 3.996
_cell_angle_alpha 90.00
_cell_angle_beta 90.00
_cell_angle_gamma 90.00
loop_
_space_group_symop_operation_xyz
'x,y,z'
loop_
_atom_site_label
_atom_site_type_symbol
_atom_site_fract_x
_atom_site_fract_y
_atom_site_fract_z
Ru1 Ru 0.500 0.500 0.500
Os1 Os 0.000 0.000 0.500
Os2 Os 0.000 0.500 0.000
Pu1 Pu 0.500 0.000 0.000
```

Total DFT energy (no corrections), eV/f.u.: -45.509
M_tot, μB per cell: 2.2
Space group: P4/mmm, No. 123
Crystal system: tetragonal



3.
DFT (PBE) results for a geometry-optimized Li3SbF structure.

Geometry as CIF:
```
data_Li3SbF
_space_group_name_H-M_alt 'P 1'
_space_group_IT_number 1
_cell_length_a 4.811
_cell_length_b 6.609
_cell_length_c 6.014
_cell_angle_alpha 81.32
_cell_angle_beta 90.00
_cell_angle_gamma 111.35
loop_
_space_group_symop_operation_xyz
'x,y,z'
loop_
_atom_site_label
_atom_site_type_symbol
_atom_site_fract_x
_atom_site_fract_y
_atom_site_fract_z
Li1 Li 0.059 0.118 0.158
Li2 Li 0.941 0.882 0.842
Li3 Li 0.606 0.211 0.838
Li4 Li 0.394 0.789 0.162
Li5 Li 0.830 0.659 0.450
Li6 Li 0.170 0.341 0.550
Sb1 Sb 0.393 0.786 0.651
Sb2 Sb 0.607 0.214 0.349
F1 F 0.097 0.194 0.843
F2 F 0.903 0.806 0.157
```

M_tot, μB per cell: 0.0
Space group: C2/m, No. 12
Crystal system: monoclinic
Energy relative to the elements, uncorrected, eV per atom: -1.4106